[1]
DFT (GGA-PBE) results for crystalline BeCo5 at its relaxed geometry.

It has space group Cmmm (No. 65), with a = 3.528 Å, b = 10.047 Å, c = 3.519 Å, α = 90.00°, β = 90.00° and γ = 90.00°. Symmetry generates all atoms from Be at (0.000, 0.000, 0.000), Co at (0.000, 0.163, 0.500), Co at (0.000, 0.334, 0.000) and Co at (0.000, 0.500, 0.500).

The value obtained for the theoretical density is 8085 kg/m3. The distance to the lowest polymorph of the same formula is 0.055 eV/atom.

[2]
DFT (GGA-PBE) results for crystalline BeCo at its relaxed geometry.

It has space group Pm-3n (No. 223), with a = 5.780 Å, b = 5.780 Å, c = 5.780 Å, α = 90.00°, β = 90.00° and γ = 90.00°. Symmetry generates all atoms from Be at (0.000, 0.250, 0.500) and Co at (0.000, 0.500, 0.250).

The value obtained for the theoretical density is 3506 kg/m3.

[3]
DFT (GGA-PBE) results for crystalline BeCo at its relaxed geometry.

It has space group I-43m (No. 217), with a = 6.637 Å, b = 6.637 Å, c = 6.637 Å, α = 90.00°, β = 90.00° and γ = 90.00°. Symmetry generates all atoms from Be at (0.192, 0.192, 0.192) and Co at (0.124, 0.124, 0.876).

The value obtained for the theoretical density is 3087 kg/m3.

[4]
DFT (GGA-PBE) results for crystalline BeCo at its relaxed geometry.

It has space group I4/mmm (No. 139), with a = 6.519 Å, b = 6.519 Å, c = 3.495 Å, α = 90.00°, β = 90.00° and γ = 90.00°. Symmetry generates all atoms from Be at (0.167, 0.167, 0.000) and Co at (0.000, 0.306, 0.500).

The value obtained for the theoretical density is 6076 kg/m3.

[5]
DFT (GGA-PBE) results for crystalline BeCo2 at its relaxed geometry.

It has space group I4/mcm (No. 140), with a = 5.196 Å, b = 5.196 Å, c = 4.236 Å, α = 90.00°, β = 90.00° and γ = 90.00°. Symmetry generates all atoms from Be at (0.000, 0.000, 0.250) and Co at (0.157, 0.343, 0.000).

The value obtained for the theoretical density is 7371 kg/m3.

[6]
DFT (GGA-PBE) results for crystalline BeCo5 at its relaxed geometry.

It has space group Amm2 (No. 38), with a = 3.970 Å, b = 2.477 Å, c = 12.591 Å, α = 90.00°, β = 90.00° and γ = 90.00°. Symmetry generates all atoms from Be at (0.000, 0.000, 0.000), Co at (0.000, 0.000, 0.334), Co at (0.000, 0.000, 0.661), Co at (0.500, 0.000, 0.220), Co at (0.500, 0.000, 0.550) and Co at (0.500, 0.000, 0.889).

The value obtained for the theoretical density is 8145 kg/m3. The distance to the lowest polymorph of the same formula is 0.029 eV/atom.

[7]
DFT (GGA-PBE) results for crystalline BeCo2 at its relaxed geometry.

It has space group Cmcm (No. 63), with a = 2.573 Å, b = 11.599 Å, c = 3.834 Å, α = 90.00°, β = 90.00° and γ = 90.00°. Symmetry generates all atoms from Be at (0.000, 0.068, 0.250), Co at (0.000, 0.270, 0.750) and Co at (0.000, 0.409, 0.250).

The value obtained for the theoretical density is 7364 kg/m3.

[8]
DFT (GGA-PBE) results for crystalline Be5Co3 at its relaxed geometry.

It has space group Cmmm (No. 65), with a = 5.285 Å, b = 7.078 Å, c = 3.622 Å, α = 90.00°, β = 90.00° and γ = 90.00°. Symmetry generates all atoms from Be at (0.000, 0.000, 0.000), Be at (0.223, 0.500, 0.500), Be at (0.250, 0.250, 0.000), Co at (0.000, 0.230, 0.500) and Co at (0.000, 0.500, 0.000).

The value obtained for the theoretical density is 5438 kg/m3. The distance to the lowest polymorph of the same formula is 0.000 eV/atom.

[9]
DFT (GGA-PBE) results for crystalline BeCo2 at its relaxed geometry.

It has space group C2/m (No. 12), with a = 8.224 Å, b = 2.544 Å, c = 5.977 Å, α = 90.00°, β = 112.29° and γ = 90.00°. Symmetry generates all atoms from Be at (0.182, 0.000, 0.094), Co at (0.000, 0.500, 0.216) and Co at (0.158, 0.000, 0.578).

The value obtained for the theoretical density is 7282 kg/m3.

[10]
DFT (GGA-PBE) results for crystalline Be3Co4 at its relaxed geometry.

It has space group R-3m (No. 166, hexagonal axes), with a = 3.6578 Å, b = 3.6578 Å, c = 17.2358 Å, α = 90.00°, β = 90.00° and γ = 120.00°. Symmetry generates all atoms from Be at (0.0000, 0.0000, 0.0000), Be at (0.0000, 0.0000, 0.2591), Co at (0.0000, 0.0000, 0.1327) and Co at (0.0000, 0.0000, 0.3842).

The value obtained for the theoretical density is 6554 kg/m3. The distance to the lowest polymorph of the same formula is 0.126 eV/atom.

[11]
DFT (GGA-PBE) results for crystalline Be5Co at its relaxed geometry.

It has space group C2/m (No. 12), with a = 7.885 Å, b = 2.660 Å, c = 4.950 Å, α = 90.00°, β = 108.68° and γ = 90.00°. Symmetry generates all atoms from Be at (0.000, 0.000, 0.000), Be at (0.167, 0.500, 0.832), Be at (0.168, 0.500, 0.336) and Co at (0.000, 0.000, 0.500).

The value obtained for the theoretical density is 3512 kg/m3.

[12]
DFT (GGA-PBE) results for crystalline BeCo3 at its relaxed geometry.

It has space group Fm-3m (No. 225), with a = 5.444 Å, b = 5.444 Å, c = 5.444 Å, α = 90.00°, β = 90.00° and γ = 90.00°. Symmetry generates all atoms from Be at (0.000, 0.000, 0.000), Co at (0.000, 0.000, 0.500) and Co at (0.250, 0.250, 0.250).

The value obtained for the theoretical density is 7650 kg/m3.

[13]
DFT (GGA-PBE) results for crystalline BeCo at its relaxed geometry.

It has space group P6_3/mmc (No. 194), with a = 3.6307 Å, b = 3.6307 Å, c = 6.7474 Å, α = 90.00°, β = 90.00° and γ = 120.00°. Symmetry generates all atoms from Be at (0.0000, 0.0000, 0.2500), Be at (0.3333, 0.6667, 0.2500) and Co at (0.3333, 0.6667, 0.5804).

The value obtained for the theoretical density is 5859 kg/m3.

[14]
DFT (GGA-PBE) results for crystalline BeCo4 at its relaxed geometry.

It has space group Im-3m (No. 229), with a = 4.923 Å, b = 4.923 Å, c = 4.923 Å, α = 90.00°, β = 90.00° and γ = 90.00°. Symmetry generates all atoms from Be at (0.000, 0.000, 0.000) and Co at (0.250, 0.250, 0.250).

The value obtained for the theoretical density is 6811 kg/m3. The distance to the lowest polymorph of the same formula is 0.651 eV/atom.

[15]
DFT (GGA-PBE) results for crystalline BeCo3 at its relaxed geometry.

It has space group Pnma (No. 62), with a = 5.299 Å, b = 6.886 Å, c = 4.425 Å, α = 90.00°, β = 90.00° and γ = 90.00°. Symmetry generates all atoms from Be at (0.109, 0.250, 0.093), Co at (0.016, 0.750, 0.380) and Co at (0.190, 0.543, 0.865).

The value obtained for the theoretical density is 7645 kg/m3.

[16]
DFT (GGA-PBE) results for crystalline BeCo3 at its relaxed geometry.

It has space group P4/mmm (No. 123), with a = 2.564 Å, b = 2.564 Å, c = 5.983 Å, α = 90.00°, β = 90.00° and γ = 90.00°. Symmetry generates all atoms from Be at (0.000, 0.000, 0.000), Co at (0.000, 0.000, 0.500) and Co at (0.500, 0.500, 0.226).

The value obtained for the theoretical density is 7843 kg/m3.

[17]
DFT (GGA-PBE) results for crystalline Be4CrCo5 at its relaxed geometry.

It has space group P4/mmm (No. 123), with a = 2.585 Å, b = 2.585 Å, c = 13.672 Å, α = 90.00°, β = 90.00° and γ = 90.00°. Symmetry generates all atoms from Be at (0.000, 0.000, 0.096), Be at (0.000, 0.000, 0.284), Cr at (0.000, 0.000, 0.500), Co at (0.500, 0.500, 0.000), Co at (0.500, 0.500, 0.190) and Co at (0.500, 0.500, 0.382).

The value obtained for the theoretical density is 6959 kg/m3.

[18]
DFT (GGA-PBE) results for crystalline Be2CrCo at its relaxed geometry.

It has space group Pm (No. 6), with a = 2.443 Å, b = 3.559 Å, c = 4.463 Å, α = 90.00°, β = 105.67° and γ = 90.00°. Symmetry generates all atoms from Be at (0.000, 0.000, 0.000), Be at (0.120, 0.500, 0.249), Cr at (0.386, 0.500, 0.770) and Co at (0.728, 0.000, 0.464).

The value obtained for the theoretical density is 5732 kg/m3. The distance to the lowest polymorph of the same formula is 0.060 eV/atom.

[19]
DFT (GGA-PBE) results for crystalline BeCrCo2 at its relaxed geometry.

It has space group Pm (No. 6), with a = 2.462 Å, b = 3.529 Å, c = 4.647 Å, α = 90.00°, β = 90.12° and γ = 90.00°. Symmetry generates all atoms from Be at (0.000, 0.000, 0.000), Cr at (0.499, 0.500, 0.275), Co at (0.000, 0.000, 0.505) and Co at (0.500, 0.500, 0.810).

The value obtained for the theoretical density is 7359 kg/m3.

[20]
DFT (GGA-PBE) results for crystalline BeCrCo2 at its relaxed geometry.

It has space group P4mm (No. 99), with a = 2.465 Å, b = 2.465 Å, c = 6.672 Å, α = 90.00°, β = 90.00° and γ = 90.00°. Symmetry generates all atoms from Be at (0.000, 0.000, 0.000), Cr at (0.500, 0.500, 0.753), Co at (0.000, 0.000, 0.472) and Co at (0.500, 0.500, 0.218).

The value obtained for the theoretical density is 7324 kg/m3.

[21]
DFT (GGA-PBE) results for crystalline BeCrCo2 at its relaxed geometry.

It has space group Cmmm (No. 65), with a = 5.127 Å, b = 6.259 Å, c = 2.522 Å, α = 90.00°, β = 90.00° and γ = 90.00°. Symmetry generates all atoms from Be at (0.000, 0.000, 0.000), Cr at (0.000, 0.500, 0.000) and Co at (0.250, 0.250, 0.500).

The value obtained for the theoretical density is 7340 kg/m3.

[22]
DFT (GGA-PBE) results for crystalline Be2CrCo at its relaxed geometry.

It has space group P4mm (No. 99), with a = 2.556 Å, b = 2.556 Å, c = 5.688 Å, α = 90.00°, β = 90.00° and γ = 90.00°. Symmetry generates all atoms from Be at (0.000, 0.000, 0.000), Be at (0.500, 0.500, 0.214), Cr at (0.500, 0.500, 0.723) and Co at (0.000, 0.000, 0.443).

The value obtained for the theoretical density is 5764 kg/m3. The distance to the lowest polymorph of the same formula is 0.000 eV/atom.

[23]
DFT (GGA-PBE) results for crystalline BeCr2Co at its relaxed geometry.

It has space group I-4m2 (No. 119), with a = 3.441 Å, b = 3.441 Å, c = 7.071 Å, α = 90.00°, β = 90.00° and γ = 90.00°. Symmetry generates all atoms from Be at (0.000, 0.000, 0.000), Cr at (0.000, 0.000, 0.500), Cr at (0.000, 0.500, 0.250) and Co at (0.000, 0.500, 0.750).

The value obtained for the theoretical density is 6818 kg/m3.

[24]
DFT (GGA-PBE) results for crystalline BeCrCo at its relaxed geometry.

It has space group I4mm (No. 107), with a = 2.560 Å, b = 2.560 Å, c = 8.922 Å, α = 90.00°, β = 90.00° and γ = 90.00°. Symmetry generates all atoms from Be at (0.000, 0.000, 0.000), Cr at (0.000, 0.000, 0.676) and Co at (0.000, 0.000, 0.356).

The value obtained for the theoretical density is 6812 kg/m3. The distance to the lowest polymorph of the same formula is 0.000 eV/atom.

[25]
DFT (GGA-PBE) results for crystalline BeCr2Co2 at its relaxed geometry.

It has space group I4/mmm (No. 139), with a = 3.432 Å, b = 3.432 Å, c = 10.276 Å, α = 90.00°, β = 90.00° and γ = 90.00°. Symmetry generates all atoms from Be at (0.000, 0.000, 0.000), Cr at (0.000, 0.500, 0.250) and Co at (0.000, 0.000, 0.399).

The value obtained for the theoretical density is 6333 kg/m3. The distance to the lowest polymorph of the same formula is 0.295 eV/atom.

[26]
DFT (GGA-PBE) results for crystalline BeCrCo3 at its relaxed geometry.

It has space group Pm-3m (No. 221), with a = 3.778 Å, b = 3.778 Å, c = 3.778 Å, α = 90.00°, β = 90.00° and γ = 90.00°. Symmetry generates all atoms from Be at (0.000, 0.000, 0.000), Cr at (0.500, 0.500, 0.500) and Co at (0.000, 0.000, 0.500).

The value obtained for the theoretical density is 7326 kg/m3. The distance to the lowest polymorph of the same formula is 0.000 eV/atom.

Asked for total magnetic moment across the records above, the calculation gives 7.526 0.856 1.021 0.578 2.553 7.099 2.174 0.000 2.486 3.280 0.000 4.291 1.141 6.599 4.337 3.930 1.142 0.000 0.000 2.519 0.000 0.001 0.009 0.000 0.000 1.167 μB per formula unit in order.
Asked for ΔE_f across the records above, the calculation gives -0.106 2.536 2.403 -0.140 -0.407 -0.263 -0.445 -2.521 -0.345 -0.378 -0.926 -0.307 -0.039 3.043 -0.027 -0.481 -2.489 -0.269 -0.060 -0.023 0.017 -0.507 0.371 -0.318 2.651 3.113 eV/f.u. in order.